CaScVF2 after structural relaxation, computed with GGA+U.

- N(E_F) (states/eV/f.u.) = 4.205
- total energy (eV/atom) = -4.340
- space group = P4/mmm (123)

Lattice parameters (Å, degrees): 4.3436 5.1373 4.3436 90.00 90.00 90.00
With the nearest neighbours (Å) after each atom.
Positions (direct):
V1 0.0000 0.0000 0.0000  4 F 2.17
Sc1 0.0000 0.5000 0.0000  2 V 2.57
F1 0.5000 0.0000 0.0000  2 V 2.17
F2 0.0000 0.0000 0.5000  2 V 2.17
Ca1 0.5000 0.5000 0.5000  4 Sc 3.07, 8 F 3.36